Y8Si3GeSe4 | Alexandria via LeMat-Bulk | PBE | relaxed; crystal system = trigonal; raw formation energy = -1347 meV per atom; symmetry = R-3m, No. 166
1.0
8.233 0.000 0.000
0.000 8.304 0.044
-4.116 -4.112 5.824
Y Si Ge Se
8 3 1 4
Direct
0.246 0.736 0.990
0.246 0.736 0.492
0.255 0.265 0.510
0.744 0.736 0.990
0.256 0.264 0.010
0.745 0.735 0.490
0.754 0.264 0.508
0.754 0.264 0.010
0.500 0.500 0.000
0.500 0.500 0.500
0.000 0.500 0.500
0.000 0.500 0.000
0.500 0.000 0.000
0.500 0.000 0.500
0.000 0.000 0.000
0.000 0.000 0.500



Y6SiGe2Se3 | Alexandria via LeMat-Bulk | PBE | relaxed; crystal system = monoclinic; raw formation energy = -1383 meV per atom; symmetry = C2/m, No. 12
1.0
4.129 0.000 0.000
0.000 8.301 0.246
-2.065 -2.447 8.705
Y Si Ge Se
6 1 2 3
Direct
0.337 0.910 0.674
0.669 0.576 0.338
0.663 0.090 0.326
0.002 0.241 0.005
0.998 0.759 0.995
0.331 0.424 0.662
0.500 0.000 0.000
0.833 0.667 0.667
0.167 0.333 0.333
0.500 0.500 0.000
0.833 0.167 0.666
0.167 0.833 0.334



Q: Which of these has the lowest raw formation energy?
A: Y6SiGe2Se3